[1]
# TlSbAs2O8

Crystalline TlSbAs2O8 at its relaxed geometry (PBE, Alexandria).

Lattice parameters (Å, degrees): 5.030 5.030 9.599 74.81 74.81 60.00
Element x y z (fractional)
Sb 0.000 0.000 0.000
O 0.735 0.021 0.870
O 0.021 0.374 0.870
O 0.979 0.626 0.130
O 0.626 0.265 0.130
O 0.265 0.979 0.130
O 0.206 0.206 0.381
O 0.374 0.735 0.870
O 0.794 0.794 0.619
As 0.733 0.733 0.801
As 0.267 0.267 0.199
Tl 0.500 0.500 0.500

## Properties
E_form (uncorrected) = -1.198 eV per atom
E_tot = -69.8 eV/cell

[2]
# Tl3SbAs2O8

Crystalline Tl3SbAs2O8 at its relaxed geometry (PBE, Alexandria).

Lattice parameters (Å, degrees): 5.985 5.985 8.144 90.00 90.00 120.00
Element x y z (fractional)
O 0.826 0.174 0.670
O 0.174 0.826 0.330
O 0.348 0.174 0.670
O 0.174 0.348 0.330
O 0.826 0.652 0.670
O 0.652 0.826 0.330
O 0.667 0.333 0.949
O 0.333 0.667 0.051
Tl 0.333 0.667 0.741
Tl 0.667 0.333 0.259
Tl 0.000 0.000 0.000
As 0.333 0.667 0.259
As 0.667 0.333 0.741
Sb 0.000 0.000 0.500

## Properties
E_form (uncorrected) = -1.087 eV per atom
E_tot = -75.4 eV/cell

[3]
# Tl2SbAsO6

Crystalline Tl2SbAsO6 at its relaxed geometry (PBE, Alexandria).

Lattice parameters (Å, degrees): 5.699 5.699 5.700 59.95 59.95 89.95
Element x y z (fractional)
Sb 0.000 0.000 0.000
O 0.258 0.258 0.000
O 0.258 0.258 0.484
O 0.742 0.258 0.000
O 0.742 0.742 0.516
O 0.258 0.742 0.000
O 0.742 0.742 0.000
Tl 0.750 0.250 0.500
Tl 0.250 0.750 0.500
As 0.500 0.500 0.000

## Properties
E_form (uncorrected) = -0.847 eV per atom
E_tot = -51.7 eV/cell

[4]
# Zr2SbAsO

Crystalline Zr2SbAsO at its relaxed geometry (PBE, Alexandria).

Lattice parameters (Å, degrees): 5.058 5.060 5.058 90.00 90.00 90.00
Element x y z (fractional)
Zr 0.500 0.000 0.000
Zr 0.000 0.000 0.500
Sb 0.000 0.500 0.000
O 0.500 0.500 0.500
As 0.000 0.000 0.000

## Properties
E_form (uncorrected) = 0.670 eV per atom
E_tot = -27.5 eV/cell

[5]
# ScAs3O9

Crystalline ScAs3O9 at its relaxed geometry (PBE, Alexandria).

Lattice parameters (Å, degrees): 6.906 7.971 8.905 74.77 67.19 64.33
Element x y z (fractional)
O 0.874 0.041 0.020
O 0.757 0.025 0.774
O 0.492 0.222 0.582
O 0.398 0.837 0.398
O 0.112 0.714 0.841
O 0.175 0.059 0.698
O 0.961 0.264 0.162
O 0.871 0.459 0.851
O 0.066 0.541 0.520
O 0.613 0.764 0.662
O 0.704 0.722 0.082
O 0.332 0.214 0.341
O 0.444 0.525 0.274
O 0.068 0.559 0.198
O 0.819 0.959 0.351
O 0.367 0.337 0.898
O 0.739 0.389 0.616
O 0.256 0.889 0.116
As 0.217 0.448 0.328
As 0.807 0.548 0.677
As 0.968 0.048 0.177
As 0.006 0.948 0.828
As 0.454 0.753 0.226
As 0.567 0.253 0.726
Sc 0.016 0.498 0.004
Sc 0.482 0.998 0.504

## Properties
E_form (uncorrected) = -1.600 eV per atom
E_tot = -171.4 eV/cell

[6]
# Sc3AsO3

Crystalline Sc3AsO3 at its relaxed geometry (PBE, Alexandria).

Lattice parameters (Å, degrees): 6.177 6.177 7.458 65.54 65.54 60.00
Element x y z (fractional)
O 0.813 0.135 0.630
O 0.422 0.813 0.630
O 0.578 0.187 0.370
O 0.135 0.422 0.630
O 0.865 0.578 0.370
O 0.187 0.865 0.370
Sc 0.743 0.461 0.702
Sc 0.461 0.094 0.702
Sc 0.094 0.743 0.702
Sc 0.539 0.906 0.298
Sc 0.906 0.257 0.298
Sc 0.257 0.539 0.298
As 0.667 0.667 0.998
As 0.333 0.333 0.002

## Properties
E_form (uncorrected) = -2.757 eV per atom
E_tot = -115.6 eV/cell